Material: In2MoRh2
Method: DFT, PBE-GGA
State: optimized geometry

Computed properties:
Formation enthalpy at 0 K   123 meV per atom

Cell: 7.570 7.570 3.044 Å, 90.00 90.00 90.00°
Space group P4/mbm (No. 127)
Asymmetric unit:
In 0.166 0.334 0.000 x4
Mo 0.000 0.000 0.500 x2
Rh 0.133 0.633 0.500 x4


Material: InMoRh2
Method: DFT, PBE-GGA
State: optimized geometry

Computed properties:
Formation enthalpy at 0 K   33 meV per atom

Cell: 2.902 2.902 7.673 Å, 90.00 90.00 90.00°
Space group P4mm (No. 99)
Asymmetric unit:
In 0.000 0.000 0.000 x1
Mo 0.500 0.500 0.286 x1
Rh 0.000 0.000 0.505 x1
Rh 0.500 0.500 0.756 x1


Number 1: electronic total energy -6.079 eV/atom. Number 2: electronic total energy -7.035 eV/atom.